[1]
Entry from Alexandria via LeMat-Bulk: an optimized crystal structure of ZrSiSb2Pt (PBE-GGA).

Unit cell a=5.2000 b=5.2000 c=4.4736 alpha=90.00 beta=90.00 gamma=90.00
Closest atoms and distances in Å follow each position.
Sites, in units of the cell vectors:
Zr 0.0000 0.0000 0.0000  8 Sb 3.43, 4 Pt 3.68
Si 0.5000 0.5000 0.5000  2 Pt 2.24
Sb 0.0000 0.5000 0.5000  2 Si 2.60
Sb 0.5000 0.0000 0.5000  2 Si 2.60
Pt 0.5000 0.5000 0.0000  2 Si 2.24

- formation energy from raw total energies (meV per atom) = 374
- calculated density (g/cm3) = 7.66

***

[2]
Entry from Alexandria via LeMat-Bulk: an optimized crystal structure of In2RuBr (PBE-GGA).

Unit cell a=3.2971 b=3.3314 c=8.0958 alpha=90.00 beta=90.00 gamma=90.00
Closest atoms and distances in Å follow each position.
Sites, in units of the cell vectors:
In 0.0000 0.0000 0.1921  4 Ru 2.81, 2 Br 2.99, 1 In 3.11
In 0.0000 0.0000 0.8079  4 Ru 2.81, 2 Br 2.99, 1 In 3.11
Ru 0.5000 0.5000 0.0000  8 In 2.81
Br 0.5000 0.0000 0.5000  4 In 2.99, 4 Br 3.30-3.33

- formation energy from raw total energies (meV per atom) = -88
- calculated density (g/cm3) = 7.67

***

[3]
Entry from Alexandria via LeMat-Bulk: an optimized crystal structure of Zr2Al2Ga (PBE-GGA).

Unit cell a=6.7632 b=6.7632 c=4.1491 alpha=90.00 beta=90.00 gamma=90.00
Closest atoms and distances in Å follow each position.
Sites, in units of the cell vectors:
Zr 0.1733 0.3267 0.0000  6 Al 2.80-2.93
Zr 0.3267 0.8267 0.0000  6 Al 2.80-2.93
Zr 0.6733 0.1733 0.0000  6 Al 2.80-2.93
Zr 0.8267 0.6733 0.0000  6 Al 2.80-2.93
Al 0.1305 0.6305 0.5000  1 Al 2.50, 2 Ga 2.65
Al 0.3695 0.1305 0.5000  1 Al 2.50, 2 Ga 2.65
Al 0.6305 0.8695 0.5000  1 Al 2.50, 2 Ga 2.65
Al 0.8695 0.3695 0.5000  1 Al 2.50, 2 Ga 2.65
Ga 0.0000 0.0000 0.5000  4 Al 2.65
Ga 0.5000 0.5000 0.5000  4 Al 2.65

- energy relative to the elements (kJ/mol of atoms) = -39.5
- calculated density (g/cm3) = 5.36

***

[4]
Entry from Alexandria via LeMat-Bulk: an optimized crystal structure of Sr2Zn2GaPt5 (PBE-GGA).

Unit cell a=9.9905 b=9.9905 c=3.7083 alpha=90.00 beta=90.00 gamma=90.00
Closest atoms and distances in Å follow each position.
Sites, in units of the cell vectors:
Sr 0.1764 0.3236 0.0000  3 Zn 2.82-3.05, 2 Pt 3.11
Sr 0.3236 0.8236 0.0000  3 Zn 2.82-3.05, 2 Pt 3.11
Sr 0.6764 0.1764 0.0000  3 Zn 2.82-3.05, 2 Pt 3.11
Sr 0.8236 0.6764 0.0000  3 Zn 2.82-3.05, 2 Pt 3.11
Zn 0.1240 0.6240 0.0000  6 Pt 2.55-2.63, 1 Sr 2.82
Zn 0.3760 0.1240 0.0000  6 Pt 2.55-2.63, 1 Sr 2.82
Zn 0.6240 0.8760 0.0000  6 Pt 2.55-2.63, 1 Sr 2.82
Zn 0.8760 0.3760 0.0000  6 Pt 2.55-2.63, 1 Sr 2.82
Ga 0.0000 0.0000 0.0000  8 Pt 2.79
Ga 0.5000 0.5000 0.0000  8 Pt 2.79
Pt 0.0000 0.5000 0.5000  4 Zn 2.55
Pt 0.0598 0.7997 0.5000  2 Zn 2.63, 2 Ga 2.79
Pt 0.2003 0.0598 0.5000  2 Zn 2.63, 2 Ga 2.79
Pt 0.2997 0.5598 0.5000  2 Zn 2.63, 2 Ga 2.79
Pt 0.4402 0.2997 0.5000  2 Zn 2.63, 2 Ga 2.79
Pt 0.5000 0.0000 0.5000  4 Zn 2.55
Pt 0.5598 0.7003 0.5000  2 Zn 2.63, 2 Ga 2.79
Pt 0.7003 0.4402 0.5000  2 Zn 2.63, 2 Ga 2.79
Pt 0.7997 0.9402 0.5000  2 Zn 2.63, 2 Ga 2.79
Pt 0.9402 0.2003 0.5000  2 Zn 2.63, 2 Ga 2.79

- energy relative to the elements (kJ/mol of atoms) = -60.5
- calculated density (g/cm3) = 12.12

***

Taking the records one at a time from the top gives magnetic moment values of 0.000, 0.000, 0.000, 0.000 μB/cell.